(1)
Compound: AgMoS2N
Source: the Alexandria database
Functional: PBE
Structure: relaxed

abc: 4.848 4.848 3.804
angles: 90.00 90.00 90.00
Space group P4/mmm (No. 123)
Asymmetric unit:
Ag 0.000 0.000 0.000 (multiplicity 1)
Mo 0.500 0.500 0.500 (multiplicity 1)
S 0.000 0.500 0.500 (multiplicity 2)
N 0.500 0.500 0.000 (multiplicity 1)

Values from the calculation:
VASP energy	-5.82	eV per atom
energy relative to the lowest polymorph listed for this composition	0	meV/atom
formation energy from raw total energies	0.24	eV per atom



(2)
Compound: AgMoSN2
Source: the Alexandria database
Functional: PBE
Structure: relaxed

abc: 3.880 3.880 5.163
angles: 90.00 90.00 90.00
Space group P4/mmm (No. 123)
Asymmetric unit:
Ag 0.000 0.000 0.000 (multiplicity 1)
Mo 0.500 0.500 0.500 (multiplicity 1)
S 0.500 0.500 0.000 (multiplicity 1)
N 0.000 0.500 0.500 (multiplicity 2)

Values from the calculation:
VASP energy	-6.46	eV per atom
energy relative to the lowest polymorph listed for this composition	0	meV/atom
formation energy from raw total energies	0.44	eV per atom



(3)
Compound: AgMoSN2
Source: the Alexandria database
Functional: PBE
Structure: relaxed

abc: 4.030 4.030 4.959
angles: 90.00 90.00 90.00
Space group P4/mmm (No. 123)
Asymmetric unit:
Ag 0.000 0.000 0.000 (multiplicity 1)
Mo 0.500 0.500 0.500 (multiplicity 1)
S 0.000 0.000 0.500 (multiplicity 1)
N 0.000 0.500 0.000 (multiplicity 2)

Values from the calculation:
VASP energy	-4.86	eV per atom
energy relative to the lowest polymorph listed for this composition	1595	meV/atom
formation energy from raw total energies	2.03	eV per atom



(4)
Compound: AgMoSeN2
Source: the Alexandria database
Functional: PBE
Structure: relaxed

abc: 3.891 3.891 5.451
angles: 90.00 90.00 90.00
Space group P4/mmm (No. 123)
Asymmetric unit:
Ag 0.000 0.000 0.000 (multiplicity 1)
Mo 0.500 0.500 0.500 (multiplicity 1)
Se 0.500 0.500 0.000 (multiplicity 1)
N 0.000 0.500 0.500 (multiplicity 2)

Values from the calculation:
VASP energy	-6.34	eV per atom
energy relative to the lowest polymorph listed for this composition	0	meV/atom
formation energy from raw total energies	0.42	eV per atom



(5)
Compound: AgMoSeN2
Source: the Alexandria database
Functional: PBE
Structure: relaxed

abc: 3.970 3.970 5.051
angles: 90.00 90.00 90.00
Space group P4/mmm (No. 123)
Asymmetric unit:
Ag 0.000 0.000 0.000 (multiplicity 1)
Mo 0.500 0.500 0.500 (multiplicity 1)
Se 0.000 0.000 0.500 (multiplicity 1)
N 0.000 0.500 0.000 (multiplicity 2)

Values from the calculation:
VASP energy	-4.52	eV per atom
energy relative to the lowest polymorph listed for this composition	1824	meV/atom
formation energy from raw total energies	2.24	eV per atom



(6)
Compound: SrAgMoN2
Source: the Alexandria database
Functional: PBE
Structure: relaxed

abc: 4.346 4.346 4.928
angles: 90.00 90.00 90.00
Space group P4/mmm (No. 123)
Asymmetric unit:
Sr 0.000 0.000 0.000 (multiplicity 1)
Ag 0.500 0.500 0.500 (multiplicity 1)
Mo 0.500 0.500 0.000 (multiplicity 1)
N 0.000 0.500 0.500 (multiplicity 2)

Values from the calculation:
VASP energy	-4.24	eV per atom
formation energy from raw total energies	2.16	eV per atom



(7)
Compound: AgTe2MoN
Source: the Alexandria database
Functional: PBE
Structure: relaxed

abc: 5.517 5.517 3.920
angles: 90.00 90.00 90.00
Space group P4/mmm (No. 123)
Asymmetric unit:
Ag 0.000 0.000 0.000 (multiplicity 1)
Te 0.000 0.500 0.000 (multiplicity 2)
Mo 0.500 0.500 0.500 (multiplicity 1)
N 0.000 0.000 0.500 (multiplicity 1)

Values from the calculation:
VASP energy	-4.20	eV per atom
energy relative to the lowest polymorph listed for this composition	1135	meV/atom
formation energy from raw total energies	1.46	eV per atom



(8)
Compound: AgTe2MoN
Source: the Alexandria database
Functional: PBE
Structure: relaxed

abc: 5.465 5.465 3.804
angles: 90.00 90.00 90.00
Space group P4/mmm (No. 123)
Asymmetric unit:
Ag 0.000 0.000 0.000 (multiplicity 1)
Te 0.000 0.500 0.500 (multiplicity 2)
Mo 0.500 0.500 0.500 (multiplicity 1)
N 0.500 0.500 0.000 (multiplicity 1)

Values from the calculation:
VASP energy	-5.33	eV per atom
energy relative to the lowest polymorph listed for this composition	0	meV/atom
formation energy from raw total energies	0.33	eV per atom



(9)
Compound: AgTeMoN2
Source: the Alexandria database
Functional: PBE
Structure: relaxed

abc: 4.011 4.011 5.515
angles: 90.00 90.00 90.00
Space group P4/mmm (No. 123)
Asymmetric unit:
Ag 0.000 0.000 0.000 (multiplicity 1)
Te 0.000 0.000 0.500 (multiplicity 1)
Mo 0.500 0.500 0.500 (multiplicity 1)
N 0.000 0.500 0.000 (multiplicity 2)

Values from the calculation:
VASP energy	-4.38	eV per atom
energy relative to the lowest polymorph listed for this composition	1855	meV/atom
formation energy from raw total energies	2.32	eV per atom



(10)
Compound: AgTeMoN2
Source: the Alexandria database
Functional: PBE
Structure: relaxed

abc: 3.940 3.940 5.781
angles: 90.00 90.00 90.00
Space group P4/mmm (No. 123)
Asymmetric unit:
Ag 0.000 0.000 0.000 (multiplicity 1)
Te 0.500 0.500 0.000 (multiplicity 1)
Mo 0.500 0.500 0.500 (multiplicity 1)
N 0.000 0.500 0.500 (multiplicity 2)

Values from the calculation:
VASP energy	-6.23	eV per atom
energy relative to the lowest polymorph listed for this composition	0	meV/atom
formation energy from raw total energies	0.46	eV per atom



(11)
Compound: AgMo2WN
Source: the Alexandria database
Functional: PBE
Structure: relaxed

abc: 4.783 4.783 4.774
angles: 90.00 90.00 90.00
Space group P4/mmm (No. 123)
Asymmetric unit:
Ag 0.000 0.000 0.000 (multiplicity 1)
Mo 0.000 0.500 0.000 (multiplicity 2)
W 0.000 0.000 0.500 (multiplicity 1)
N 0.500 0.500 0.500 (multiplicity 1)

Values from the calculation:
VASP energy	-5.41	eV per atom
energy relative to the lowest polymorph listed for this composition	2157	meV/atom
formation energy from raw total energies	3.74	eV per atom



(12)
Compound: AgMo2WN
Source: the Alexandria database
Functional: PBE
Structure: relaxed

abc: 4.953 4.953 3.834
angles: 90.00 90.00 90.00
Space group P4/mmm (No. 123)
Asymmetric unit:
Ag 0.000 0.000 0.000 (multiplicity 1)
Mo 0.000 0.500 0.500 (multiplicity 2)
W 0.500 0.500 0.500 (multiplicity 1)
N 0.500 0.500 0.000 (multiplicity 1)

Values from the calculation:
VASP energy	-7.57	eV per atom
energy relative to the lowest polymorph listed for this composition	0	meV/atom
formation energy from raw total energies	1.59	eV per atom